Here is La2Nd4Er3 after structural relaxation from Alexandria. Energies are from GGA-PBE.

Properties
DFT total energy = -4.709 eV/atom
Polymorph energy (0 for the lowest one) = 0.00 eV/f.u.
Symmetry = No. 2
Magnetization = 0.0 μB/cell

Cell: 5.1466 6.3324 10.8782 Å, 73.35 76.36 66.06°
Fractional positions:
La1 0.1664 0.3919 0.2751
La2 0.8336 0.6081 0.7249
Nd1 0.1662 0.0555 0.6123
Nd2 0.4981 0.1684 0.8354
Nd3 0.5019 0.8316 0.1646
Nd4 0.8338 0.9445 0.3877
Er1 0.1650 0.7242 0.9460
Er2 0.5000 0.5000 0.5000
Er3 0.8350 0.2758 0.0540